# LiCu2Cl4

LiCu2Cl4 after structural relaxation (PBE-GGA, Alexandria via LeMat-Bulk).

The density of states at the Fermi level is 6.8 states/eV/f.u. Its total energy is -3.372 eV/atom.

The structure belongs to space group P-42m (No. 111); the cell edges are 5.2667, 5.2667 and 5.6731 Å and the angles 90.00°, 90.00° and 90.00°. The asymmetric unit holds Li at (0.0000, 0.0000, 0.0000), Cu at (0.0000, 0.5000, 0.5000) and Cl at (0.2513, 0.2513, 0.2610).


# Li2CuCl3

Li2CuCl3 after structural relaxation (PBE-GGA, Alexandria via LeMat-Bulk).

The density of states at the Fermi level is 0.0 states/eV/f.u. Its total energy is -3.590 eV/atom.

The structure belongs to space group Imm2 (No. 44); the cell edges are 3.8767, 11.6197 and 5.4745 Å and the angles 90.00°, 90.00° and 90.00°. The asymmetric unit holds Li at (0.0000, 0.1664, 0.0000), Cu at (0.0000, 0.5000, 0.9964), Cl at (0.0000, 0.0000, 0.2590) and Cl at (0.0000, 0.3348, 0.2489).


# Li2CuCl

Li2CuCl after structural relaxation (PBE-GGA, Alexandria via LeMat-Bulk).

The density of states at the Fermi level is 0.2 states/eV/f.u. Its total energy is -2.984 eV/atom. Its offset from the most stable computed form is 98 meV/atom.

The structure belongs to space group P4/mmm (No. 123); the cell edges are 4.4433, 4.4433 and 3.1547 Å and the angles 90.00°, 90.00° and 90.00°. The asymmetric unit holds Li at (0.0000, 0.5000, 0.0000), Cu at (0.0000, 0.0000, 0.5000) and Cl at (0.5000, 0.5000, 0.5000).


# Li2CuCl

Li2CuCl after structural relaxation (PBE-GGA, Alexandria via LeMat-Bulk).

The density of states at the Fermi level is 0.3 states/eV/f.u. Its total energy is -3.063 eV/atom. Its offset from the most stable computed form is 18 meV/atom.

The structure belongs to space group Cm (No. 8); the cell edges are 12.6338, 3.4035 and 3.4028 Å and the angles 90.00°, 105.46° and 90.00°. The asymmetric unit holds Li at (0.0000, 0.0000, 0.0000), Li at (0.1524, 0.5000, 0.6522), Cu at (0.2329, 0.0000, 0.2313) and Cl at (0.4554, 0.0000, 0.4558).


# Li3CuCl4

Li3CuCl4 after structural relaxation (PBE-GGA, Alexandria via LeMat-Bulk).

The density of states at the Fermi level is 0.0 states/eV/f.u. Its total energy is -3.617 eV/atom. Its offset from the most stable computed form is 0 meV/atom.

The structure belongs to space group R3m (No. 160, hexagonal axes); the cell edges are 3.8883, 3.8883 and 37.9024 Å and the angles 90.00°, 90.00° and 120.00°. The asymmetric unit holds Li at (0.0000, 0.0000, 0.0000), Li at (0.0000, 0.0000, 0.2491), Li at (0.0000, 0.0000, 0.4982), Cu at (0.0000, 0.0000, 0.7492), Cl at (0.0000, 0.0000, 0.0633), Cl at (0.0000, 0.0000, 0.3123), Cl at (0.0000, 0.0000, 0.5614) and Cl at (0.0000, 0.0000, 0.8112).


# Li2CuCl

Li2CuCl after structural relaxation (PBE-GGA, Alexandria via LeMat-Bulk).

The density of states at the Fermi level is 0.0 states/eV/f.u. Its total energy is -2.993 eV/atom. Its offset from the most stable computed form is 88 meV/atom.

The structure belongs to space group I-42d (No. 122); the cell edges are 6.4150, 6.4150 and 7.9837 Å and the angles 90.00°, 90.00° and 90.00°. The asymmetric unit holds Li at (0.2149, 0.2500, 0.1250), Cu at (0.0000, 0.0000, 0.5000) and Cl at (0.0000, 0.0000, 0.0000).


# Li2CuCl

Li2CuCl after structural relaxation (PBE-GGA, Alexandria via LeMat-Bulk).

The density of states at the Fermi level is 0.8 states/eV/f.u. Its total energy is -3.074 eV/atom. Its offset from the most stable computed form is 8 meV/atom.

The structure belongs to space group P2/m (No. 10); the cell edges are 3.1072, 3.1653 and 6.2659 Å and the angles 90.00°, 91.26° and 90.00°. The asymmetric unit holds Li at (0.0114, 0.0000, 0.2582), Cu at (0.5000, 0.5000, 0.0000) and Cl at (0.5000, 0.5000, 0.5000).


# Li2CuCl

Li2CuCl after structural relaxation (PBE-GGA, Alexandria via LeMat-Bulk).

The density of states at the Fermi level is 0.0 states/eV/f.u. Its total energy is -2.833 eV/atom. Its offset from the most stable computed form is 248 meV/atom.

The structure belongs to space group Fm-3m (No. 225); the cell edges are 6.5289, 6.5289 and 6.5289 Å and the angles 90.00°, 90.00° and 90.00°. The asymmetric unit holds Li at (0.2500, 0.2500, 0.2500), Cu at (0.0000, 0.0000, 0.0000) and Cl at (0.0000, 0.0000, 0.5000).